# 1
VASP calculation (PBE) on crystalline LiPaCl6 at its relaxed geometry.

Crystal system: monoclinic
Polymorph energy (0 for the lowest one) in meV per atom: 0

a = 6.5278 Å, b = 12.6978 Å, c = 6.5228 Å
α = 90.00°, β = 109.15°, γ = 90.00°
Last column: nearest neighbours and their distance in Å.
Space group C2/m (No. 12)
Symmetry-distinct sites (fractional):
Li: 0.0000 0.0000 0.0000  6 Cl 2.58-2.77
Pa: 0.0000 0.5000 0.5000  6 Cl 2.54-2.57
Cl: 0.2395 0.5000 0.2611  1 Pa 2.54, 1 Li 2.77
Cl: 0.2487 0.3621 0.7494  1 Pa 2.57, 1 Li 2.58

# 2
VASP calculation (PBE) on crystalline Li3PaCl6 at its relaxed geometry.

Crystal system: monoclinic

a = 6.7162 Å, b = 6.7730 Å, c = 12.4521 Å
α = 90.00°, β = 121.92°, γ = 90.00°
Last column: nearest neighbours and their distance in Å.
Space group P2_1/c (No. 14)
Symmetry-distinct sites (fractional):
Li: 0.0000 0.0000 0.0000  4 Cl 2.47-2.65
Li: 0.2609 0.0060 0.7387  4 Cl 2.44-2.58
Pa: 0.5000 0.0000 0.5000  6 Cl 2.77-2.84
Cl: 0.0752 0.1804 0.4317  2 Li 2.47-2.48
Cl: 0.2405 0.6567 0.4071  2 Li 2.44-2.65
Cl: 0.4010 0.1335 0.2600  2 Li 2.45-2.58

# 3
VASP calculation (PBE) on crystalline Li3PaCl8 at its relaxed geometry.

Crystal system: cubic

a = 6.5227 Å, b = 6.5227 Å, c = 6.5227 Å
α = 90.00°, β = 90.00°, γ = 90.00°
Last column: nearest neighbours and their distance in Å.
Space group Pm-3m (No. 221)
Symmetry-distinct sites (fractional):
Li: 0.0000 0.0000 0.5000  8 Cl 2.86
Pa: 0.5000 0.5000 0.5000  8 Cl 2.72
Cl: 0.2588 0.2588 0.2588  1 Pa 2.72, 3 Li 2.86

# 4
VASP calculation (PBE) on crystalline Li2PaCl8 at its relaxed geometry.

Crystal system: monoclinic
Polymorph energy (0 for the lowest one) in meV per atom: 51

a = 7.2896 Å, b = 11.6684 Å, c = 7.1100 Å
α = 90.00°, β = 105.69°, γ = 90.00°
Last column: nearest neighbours and their distance in Å.
Space group C2/m (No. 12)
Symmetry-distinct sites (fractional):
Li: 0.0000 0.2474 0.0000  4 Cl 2.50-2.53
Pa: 0.0000 0.0000 0.5000  4 Cl 2.48-2.62
Cl: 0.0000 0.2245 0.5000  1 Pa 2.62, 2 Cl 2.87
Cl: 0.2137 0.1253 0.8616  2 Li 2.50-2.53
Cl: 0.2261 0.5000 0.6448  1 Pa 2.48

# 5
VASP calculation (PBE) on crystalline RbLiPaCl6 at its relaxed geometry.

Crystal system: trigonal

a = 6.8850 Å, b = 6.8850 Å, c = 14.7717 Å
α = 90.00°, β = 90.00°, γ = 120.00°
Last column: nearest neighbours and their distance in Å.
Space group P-31c (No. 163)
Symmetry-distinct sites (fractional):
Rb: 0.0000 0.0000 0.0000  6 Cl 3.36
Li: 0.3333 0.6667 0.2500  6 Cl 2.64
Pa: 0.3333 0.6667 0.7500  6 Cl 2.66
Cl: 0.0023 0.3710 0.1479  1 Li 2.64, 1 Pa 2.66

# 6
VASP calculation (PBE) on crystalline LiPb3Cl6 at its relaxed geometry.

Crystal system: monoclinic

a = 6.7169 Å, b = 8.4592 Å, c = 11.0021 Å
α = 90.00°, β = 119.29°, γ = 90.00°
Last column: nearest neighbours and their distance in Å.
Space group P2_1/c (No. 14)
Symmetry-distinct sites (fractional):
Li: 0.0000 0.0000 0.0000  6 Cl 2.49-2.74
Pb: 0.3243 0.0724 0.7642  5 Cl 2.81-3.11
Pb: 0.5000 0.0000 0.5000  4 Cl 2.92-2.99
Cl: 0.0791 0.0805 0.2468  1 Li 2.59
Cl: 0.2587 0.7305 0.0885  1 Li 2.74, 2 Pb 2.97-2.99
Cl: 0.3556 0.1415 0.0453  1 Li 2.49

# 7
VASP calculation (PBE) on crystalline LiPb2Cl at its relaxed geometry.

Crystal system: orthorhombic
Polymorph energy (0 for the lowest one) in meV per atom: 376

a = 3.4698 Å, b = 5.4855 Å, c = 5.6251 Å
α = 90.00°, β = 90.00°, γ = 90.00°
Last column: nearest neighbours and their distance in Å.
Space group Pmmm (No. 47)
Symmetry-distinct sites (fractional):
Li: 0.0000 0.0000 0.0000  4 Pb 3.25, 4 Cl 3.30, 2 Li 3.47
Pb: 0.0000 0.5000 0.5000  4 Cl 3.25, 6 Pb 3.30-3.47
Pb: 0.5000 0.5000 0.0000  4 Li 3.25, 6 Pb 3.30-3.47
Cl: 0.5000 0.0000 0.5000  4 Pb 3.25, 4 Li 3.30, 2 Cl 3.47

# 8
VASP calculation (PBE) on crystalline LiPb2Cl8 at its relaxed geometry.

Crystal system: monoclinic

a = 18.5908 Å, b = 8.9441 Å, c = 12.5841 Å
α = 90.00°, β = 131.51°, γ = 90.00°
Last column: nearest neighbours and their distance in Å.
Space group C2/c (No. 15)
Symmetry-distinct sites (fractional):
Li: 0.0000 0.0039 0.2500  6 Cl 2.54-2.69
Pb: 0.0937 0.2400 0.5500  4 Cl 2.47-2.53
Cl: 0.0728 0.2098 0.1879  1 Pb 2.52, 1 Li 2.69
Cl: 0.1020 0.2090 0.7573  1 Pb 2.53, 1 Li 2.65
Cl: 0.1543 0.0140 0.5085  1 Pb 2.53, 1 Li 2.54
Cl: 0.1578 0.4835 0.5529  1 Pb 2.47

# 9
VASP calculation (PBE) on crystalline LiPb2Cl5 at its relaxed geometry.

Crystal system: monoclinic

a = 11.0769 Å, b = 11.0900 Å, c = 10.6521 Å
α = 90.00°, β = 121.11°, γ = 90.00°
Last column: nearest neighbours and their distance in Å.
Space group C2/c (No. 15)
Symmetry-distinct sites (fractional):
Li: 0.0000 0.1237 0.2500  4 Cl 2.41
Pb: 0.0000 0.5000 0.0000  6 Cl 2.90-3.01
Pb: 0.2500 0.2500 0.0000  6 Cl 2.89-3.00
Cl: 0.0000 0.3737 0.7500  4 Pb 3.00-3.01
Cl: 0.0584 0.2546 0.1081  1 Li 2.41
Cl: 0.2017 0.0026 0.8984  1 Li 2.41

# 10
VASP calculation (PBE) on crystalline LiPbCl2 at its relaxed geometry.

Crystal system: cubic
Polymorph energy (0 for the lowest one) in meV per atom: 402

a = 7.2696 Å, b = 7.2696 Å, c = 7.2696 Å
α = 90.00°, β = 90.00°, γ = 90.00°
Last column: nearest neighbours and their distance in Å.
Space group Fm-3m (No. 225)
Symmetry-distinct sites (fractional):
Li: 0.0000 0.0000 0.0000  8 Cl 3.15
Pb: 0.0000 0.0000 0.5000  8 Cl 3.15
Cl: 0.2500 0.2500 0.2500  4 Pb 3.15, 4 Li 3.15

# 11
VASP calculation (PBE) on crystalline LiPb2Cl at its relaxed geometry.

Crystal system: monoclinic
Polymorph energy (0 for the lowest one) in meV per atom: 264

a = 11.5607 Å, b = 3.5075 Å, c = 5.9976 Å
α = 90.00°, β = 121.17°, γ = 90.00°
Last column: nearest neighbours and their distance in Å.
Space group Cm (No. 8)
Symmetry-distinct sites (fractional):
Li: 0.0000 0.0000 0.0000  2 Cl 2.27
Pb: 0.2419 0.0000 0.7478  2 Li 3.10, 2 Pb 3.35
Pb: 0.4539 0.0000 0.4576  6 Pb 3.35-3.67, 4 Li 3.49-3.52, 4 Cl 3.52-3.57
Cl: 0.1449 0.5000 0.1523  2 Li 2.27

# 12
VASP calculation (PBE) on crystalline LiPb2Cl at its relaxed geometry.

Crystal system: monoclinic
Polymorph energy (0 for the lowest one) in meV per atom: 15

a = 20.9385 Å, b = 3.3651 Å, c = 3.5670 Å
α = 90.00°, β = 97.73°, γ = 90.00°
Last column: nearest neighbours and their distance in Å.
Space group C2/m (No. 12)
Symmetry-distinct sites (fractional):
Li: 0.0000 0.0000 0.0000  4 Cl 2.45
Pb: 0.1936 0.5000 0.2064  8 Pb 3.37-3.57
Cl: 0.0000 0.5000 0.5000  4 Li 2.45

Results for energy relative to the elements, uncorrected: -1.844 -1.676 -1.660 -1.456 -1.934 -1.106 -0.397 -0.822 -1.279 -0.798 -0.509 -0.757 (in eV per atom, following the order of the records).
Results for magnetic moment: 0.0000 0.2000 0.0000 0.0941 0.1121 0.0975 0.0000 0.0000 0.0000 0.0000 0.0000 0.0000 (in μB/atom, following the order of the records).
Results for E_tot: -4.65 -4.31 -4.16 -4.01 -4.54 -3.52 -3.19 -3.01 -3.60 -3.13 -3.30 -3.55 (in eV/atom, following the order of the records).